Material: Tb7Pb2Au2
Method: DFT, PBE
State: optimized geometry

## Properties
Formation enthalpy at 0 K ... -0.3131 eV per atom

Cell: 7.082 7.093 7.082 Å, 90.00 105.73 90.00°
Element x y z (fractional)
Pb: 0.817 0.500 0.817
Pb: 0.183 0.500 0.183
Tb: 0.500 0.258 0.000
Tb: 0.500 0.242 0.500
Tb: 0.000 0.000 0.000
Tb: 0.500 0.742 0.000
Tb: 0.500 0.758 0.500
Tb: 0.000 0.742 0.500
Tb: 0.000 0.258 0.500
Au: 0.715 0.000 0.285
Au: 0.285 0.000 0.715

---

Material: Tb5PbAu2
Method: DFT, PBE
State: optimized geometry

## Properties
Formation enthalpy at 0 K ... -0.6119 eV per atom

Cell: 8.126 8.126 8.782 Å, 117.56 117.56 90.00°
Element x y z (fractional)
Au: 0.636 0.136 0.000
Au: 0.136 0.364 0.000
Au: 0.864 0.636 0.000
Au: 0.364 0.864 0.000
Tb: 0.299 0.799 0.285
Tb: 0.000 0.000 0.000
Tb: 0.500 0.500 0.000
Tb: 0.799 0.987 0.285
Tb: 0.987 0.487 0.285
Tb: 0.487 0.299 0.285
Tb: 0.013 0.513 0.715
Tb: 0.201 0.013 0.715
Tb: 0.513 0.701 0.715
Tb: 0.701 0.201 0.715
Pb: 0.250 0.250 0.500
Pb: 0.750 0.750 0.500

---

Material: Tb2PbAu4
Method: DFT, PBE
State: optimized geometry

## Properties
Formation enthalpy at 0 K ... -0.5415 eV per atom

Cell: 4.955 4.955 8.573 Å, 73.20 73.20 60.00°
Element x y z (fractional)
Tb: 0.750 0.750 0.749
Tb: 0.250 0.250 0.251
Au: 0.870 0.870 0.389
Au: 0.130 0.130 0.611
Au: 0.382 0.382 0.855
Au: 0.618 0.618 0.145
Pb: 0.000 0.000 0.000

---

Material: TbPb2Au
Method: DFT, PBE
State: optimized geometry

## Properties
Offset from the most stable computed form ... 453 meV per atom
Formation enthalpy at 0 K ... 0.0583 eV per atom

Cell: 3.561 3.561 10.862 Å, 80.57 80.57 60.00°
Element x y z (fractional)
Pb: 0.099 0.099 0.703
Pb: 0.901 0.901 0.297
Au: 0.500 0.500 0.500
Tb: 0.000 0.000 0.000

---

Material: TbPbAu2
Method: DFT, PBE
State: optimized geometry

## Properties
Formation enthalpy at 0 K ... -0.5082 eV per atom

Cell: 4.141 4.731 4.731 Å, 90.00 90.00 90.00°
Element x y z (fractional)
Tb: 0.500 0.500 0.500
Au: 0.000 0.500 0.000
Au: 0.000 0.000 0.500
Pb: 0.500 0.000 0.000

---

Material: Tb6Te3PbAu2
Method: DFT, PBE
State: optimized geometry

## Properties
Formation energy without anion corrections ... -12.08 eV/f.u.

Cell: 4.225 8.936 9.911 Å, 107.18 102.31 90.00°
Element x y z (fractional)
Au: 0.173 0.353 0.346
Au: 0.827 0.647 0.654
Te: 0.162 0.844 0.324
Te: 0.500 0.500 0.000
Te: 0.838 0.156 0.676
Tb: 0.670 0.114 0.340
Tb: 0.669 0.583 0.337
Tb: 0.331 0.417 0.663
Tb: 0.008 0.255 0.017
Tb: 0.992 0.745 0.983
Tb: 0.330 0.886 0.660
Pb: 0.500 0.000 0.000

---

Material: TbTe3PbAu
Method: DFT, PBE
State: optimized geometry

## Properties
Formation energy without anion corrections ... -4.26 eV/f.u.

Cell: 4.333 8.626 10.375 Å, 104.88 90.00 90.00°
Element x y z (fractional)
Te: 0.250 0.579 0.861
Te: 0.250 0.070 0.858
Te: 0.250 0.726 0.478
Te: 0.750 0.421 0.139
Te: 0.750 0.274 0.522
Te: 0.750 0.930 0.142
Tb: 0.750 0.312 0.823
Tb: 0.250 0.688 0.177
Pb: 0.750 0.781 0.725
Pb: 0.250 0.219 0.275
Au: 0.750 0.912 0.405
Au: 0.250 0.088 0.595

---

Material: TbTmPbAu
Method: DFT, PBE
State: optimized geometry

## Properties
Formation enthalpy at 0 K ... -0.5913 eV per atom

Cell: 5.240 5.240 5.240 Å, 60.00 60.00 60.00°
Element x y z (fractional)
Au: 0.000 0.000 0.000
Pb: 0.500 0.500 0.500
Tm: 0.250 0.250 0.250
Tb: 0.750 0.750 0.750

---

Material: TbZnPbAu
Method: DFT, PBE
State: optimized geometry

## Properties
Formation enthalpy at 0 K ... -0.3927 eV per atom

Cell: 5.044 5.044 5.044 Å, 60.00 60.00 60.00°
Element x y z (fractional)
Pb: 0.000 0.000 0.000
Zn: 0.250 0.250 0.250
Au: 0.750 0.750 0.750
Tb: 0.500 0.500 0.500

---

Material: TcPb2Au
Method: DFT, PBE
State: optimized geometry

## Properties
Offset from the most stable computed form ... 122 meV per atom
Formation enthalpy at 0 K ... 0.4826 eV per atom

Cell: 10.813 10.813 10.813 Å, 16.95 16.95 16.95°
Element x y z (fractional)
Tc: 0.493 0.493 0.493
Pb: 0.232 0.232 0.232
Pb: 0.015 0.015 0.015
Au: 0.761 0.761 0.761

---

Material: Tc3PbAu
Method: DFT, PBE
State: optimized geometry

## Properties
Offset from the most stable computed form ... 0 meV per atom
Formation enthalpy at 0 K ... 1.9971 eV per atom

Cell: 4.949 4.949 4.949 Å, 90.00 90.00 90.00°
Element x y z (fractional)
Tc: 0.000 0.500 0.000
Tc: 0.500 0.000 0.000
Tc: 0.000 0.000 0.500
Au: 0.000 0.000 0.000
Pb: 0.500 0.500 0.500

---

Material: TcPb3Au
Method: DFT, PBE
State: optimized geometry

## Properties
Offset from the most stable computed form ... 0 meV per atom
Formation enthalpy at 0 K ... 0.3606 eV per atom

Cell: 5.297 5.297 5.297 Å, 90.00 90.00 90.00°
Element x y z (fractional)
Tc: 0.000 0.000 0.000
Pb: 0.000 0.500 0.000
Pb: 0.000 0.000 0.500
Pb: 0.500 0.000 0.000
Au: 0.500 0.500 0.500

---

Material: TcPb2Au
Method: DFT, PBE
State: optimized geometry

## Properties
Offset from the most stable computed form ... 138 meV per atom
Formation enthalpy at 0 K ... 0.4978 eV per atom

Cell: 9.287 9.287 9.287 Å, 20.69 20.69 20.69°
Element x y z (fractional)
Tc: 0.250 0.250 0.250
Pb: 0.995 0.995 0.995
Pb: 0.505 0.505 0.505
Au: 0.750 0.750 0.750

---

Material: TcPb2Au
Method: DFT, PBE
State: optimized geometry

## Properties
Offset from the most stable computed form ... 275 meV per atom
Formation enthalpy at 0 K ... 0.6352 eV per atom

Cell: 3.489 5.557 4.591 Å, 90.00 90.00 90.00°
Element x y z (fractional)
Au: 0.000 0.500 0.500
Tc: 0.500 0.000 0.500
Pb: 0.000 0.000 0.000
Pb: 0.500 0.500 0.000

---

Material: TcPb2Au
Method: DFT, PBE
State: optimized geometry

## Properties
Offset from the most stable computed form ... 226 meV per atom
Formation enthalpy at 0 K ... 0.5861 eV per atom

Cell: 5.247 5.247 5.247 Å, 129.02 129.02 74.98°
Element x y z (fractional)
Pb: 0.000 0.000 0.000
Pb: 0.500 0.500 0.000
Au: 0.750 0.250 0.500
Tc: 0.250 0.750 0.500

---

Material: TcPb2Au
Method: DFT, PBE
State: optimized geometry

## Properties
Offset from the most stable computed form ... 158 meV per atom
Formation enthalpy at 0 K ... 0.5185 eV per atom

Cell: 8.054 5.200 3.235 Å, 89.90 66.45 130.55°
Element x y z (fractional)
Pb: 0.500 0.000 0.500
Pb: 0.000 0.000 0.000
Tc: 0.000 0.500 0.500
Au: 0.500 0.500 0.000

---

Material: TcPb2Au
Method: DFT, PBE
State: optimized geometry

## Properties
Offset from the most stable computed form ... 367 meV per atom
Formation enthalpy at 0 K ... 0.7271 eV per atom

Cell: 5.044 5.044 5.044 Å, 60.00 60.00 60.00°
Element x y z (fractional)
Au: 0.500 0.500 0.500
Tc: 0.750 0.750 0.750
Pb: 0.250 0.250 0.250
Pb: 0.000 0.000 0.000

---

Material: TcPb2Au
Method: DFT, PBE
State: optimized geometry

## Properties
Offset from the most stable computed form ... 0 meV per atom
Formation enthalpy at 0 K ... 0.3602 eV per atom

Cell: 4.454 3.616 5.725 Å, 71.57 90.00 90.00°
Element x y z (fractional)
Tc: 0.000 0.704 0.467
Pb: 0.000 0.976 0.921
Pb: 0.500 0.273 0.330
Au: 0.500 0.547 0.782

---

Material: TcPb2Au
Method: DFT, PBE
State: optimized geometry

## Properties
Offset from the most stable computed form ... 96 meV per atom
Formation enthalpy at 0 K ... 0.4562 eV per atom

Cell: 5.798 5.798 5.214 Å, 73.99 73.99 31.72°
Element x y z (fractional)
Au: 0.219 0.219 0.221
Pb: 0.777 0.777 0.680
Pb: 0.984 0.984 0.053
Tc: 0.520 0.520 0.546

---

Material: TcPb2Au
Method: DFT, PBE
State: optimized geometry

## Properties
Offset from the most stable computed form ... 200 meV per atom
Formation enthalpy at 0 K ... 0.5606 eV per atom

Cell: 5.765 5.765 5.765 Å, 137.28 137.28 62.01°
Element x y z (fractional)
Pb: 0.250 0.750 0.500
Pb: 0.000 0.000 0.000
Au: 0.750 0.250 0.500
Tc: 0.500 0.500 0.000